(1)
First-principles (PBE) data for an optimized crystal structure of KS2O, as listed in Alexandria via LeMat-Bulk.

Geometry as POSCAR:
```
KS2O
1.0
1.902 0.000 8.507
-0.951 1.647 8.507
-0.951 -1.647 8.507
S K O
2 1 1
Cartesian
0.000 0.000 2.873
0.000 0.000 22.648
0.000 0.000 0.000
0.000 0.000 12.761
```

Values from the calculation:
ΔE_f (raw) = 901.4 meV/atom

---

(2)
First-principles (PBE) data for an optimized crystal structure of K7SO2, as listed in Alexandria via LeMat-Bulk.

Geometry as POSCAR:
```
K7SO2
1.0
-3.635 1.042 3.509
-4.004 -6.612 -2.185
5.092 -2.023 5.875
K O S
7 2 1
Cartesian
-2.844 -1.582 1.316
-1.472 -5.334 0.059
0.296 -6.011 5.883
2.559 -3.300 3.631
-1.274 -3.796 3.599
-0.416 -0.357 3.467
-2.132 -7.236 3.732
-3.150 -4.743 1.937
0.602 -2.850 5.262
0.000 0.000 0.000
```

Values from the calculation:
ΔE_f (raw) = -810.4 meV/atom

---

(3)
First-principles (PBE) data for an optimized crystal structure of K2SO4, as listed in Alexandria via LeMat-Bulk.

Geometry as POSCAR:
```
K2SO4
1.0
5.877 0.000 0.000
0.000 7.594 0.000
0.000 0.000 10.230
K O S
8 16 4
Cartesian
1.469 7.569 3.038
4.408 3.822 8.153
4.408 2.477 4.256
1.469 3.772 2.077
4.408 0.025 7.192
1.469 1.319 9.371
1.469 5.116 5.974
4.408 6.274 0.859
1.469 0.263 5.892
2.693 6.021 8.670
1.469 6.127 0.548
3.185 1.572 1.560
1.469 4.060 9.453
0.246 6.021 8.670
4.408 7.330 4.338
3.185 5.369 3.555
5.631 1.572 1.560
5.631 5.369 3.555
4.408 5.264 5.663
1.469 2.330 4.567
2.693 2.224 6.675
4.408 1.467 9.682
4.408 3.534 0.777
0.246 2.224 6.675
1.469 5.547 9.393
4.408 2.047 0.837
1.469 1.750 5.952
4.408 5.844 4.278
```

Values from the calculation:
ΔE_f (raw) = -1881.0 meV/atom
ΔE to the lowest computed polymorph = 0 meV per atom

---

(4)
First-principles (PBE) data for an optimized crystal structure of KS5O, as listed in Alexandria via LeMat-Bulk.

Geometry as POSCAR:
```
KS5O
1.0
15.263 -4.049 -3.879
-2.547 4.944 -1.005
-8.173 1.988 5.372
S K O
5 1 1
Cartesian
9.624 -2.168 -0.585
5.245 2.086 -1.404
1.250 0.835 2.113
-2.657 4.545 0.399
5.244 0.899 1.000
1.446 2.750 -0.775
6.812 -1.758 -0.057
```

Values from the calculation:
ΔE_f (raw) = -445.9 meV/atom

---

(5)
First-principles (PBE) data for an optimized crystal structure of KS6O2, as listed in Alexandria via LeMat-Bulk.

Geometry as POSCAR:
```
KS6O2
1.0
-7.205 -4.269 -1.143
-1.480 -1.201 8.235
-9.399 2.583 4.893
S O K
12 4 2
Cartesian
-15.176 -2.092 10.804
-12.330 -2.675 8.457
-11.181 -3.762 7.202
-7.032 -1.775 6.140
-12.776 -1.043 6.875
-5.754 -0.212 3.528
-2.909 -0.794 1.181
-6.903 0.875 4.782
-10.409 1.104 6.047
-5.308 -1.844 5.110
-7.675 -3.991 5.937
-11.052 -1.112 5.845
-11.497 -2.140 9.600
-9.734 1.376 7.374
-6.587 -0.747 2.385
-8.350 -4.263 4.611
-8.228 -2.912 2.254
-9.856 0.025 9.730
```

Values from the calculation:
ΔE_f (raw) = -450.4 meV/atom

---

(6)
First-principles (PBE) data for an optimized crystal structure of K2SO4, as listed in Alexandria via LeMat-Bulk.

Geometry as POSCAR:
```
K2SO4
1.0
-0.279 3.263 -5.104
-5.858 1.192 1.020
4.175 1.317 4.249
O K S
4 2 1
Cartesian
-1.649 4.929 1.363
-1.435 0.426 0.035
-1.716 4.974 -1.075
0.874 1.214 0.013
-2.374 2.369 1.612
0.416 3.405 -1.450
-0.280 3.263 -5.103
```

Values from the calculation:
ΔE_f (raw) = -1838.9 meV/atom
ΔE to the lowest computed polymorph = 42 meV per atom

---

Looking at total moment for the records above, in order, we have 0.000, 0.151, 0.000, 0.000, 0.387, 0.185 μB/f.u..